1.
CaPt2F8 | Alexandria | PBE-GGA | optimized geometry; mass density = 5.73 g/cm3; space-group type = C2/m, No. 12; formation energy without anion corrections = -20.71 eV/f.u.
1.0
-4.248 0.020 2.001
0.280 -7.269 0.672
1.641 4.127 4.238
F Pt Ca
8 2 1
Direct
0.749 0.340 0.224
0.251 0.660 0.776
0.253 0.187 0.375
0.747 0.813 0.625
0.256 0.593 0.186
0.748 0.883 0.223
0.252 0.117 0.777
0.744 0.407 0.814
0.748 0.614 0.228
0.252 0.386 0.772
0.000 0.000 0.000

---

2.
Rb2CaPtF6 | Alexandria | PBE-GGA | optimized geometry; mass density = 4.78 g/cm3; space-group type = I4/mmm, No. 139; formation energy without anion corrections = -24.98 eV/f.u.
1.0
-6.268 -0.698 -0.754
0.965 -5.603 -2.831
-2.901 -5.200 2.178
Ca Rb F Pt
1 2 6 1
Direct
0.500 0.500 0.000
0.750 0.250 0.500
0.250 0.750 0.500
0.251 0.749 0.000
0.250 0.250 0.501
0.749 0.251 0.000
0.251 0.251 0.000
0.749 0.749 0.000
0.750 0.750 0.499
0.000 0.000 0.000

---

3.
CaSi2PtF | Alexandria | PBE-GGA | optimized geometry; mass density = 4.20 g/cm3; space-group type = P4/mmm, No. 123; formation energy without anion corrections = -3.63 eV/f.u.
1.0
4.500 0.000 0.000
0.000 6.054 0.000
0.000 0.000 4.500
Si F Pt Ca
2 1 1 1
Direct
0.000 0.000 0.500
0.500 0.000 0.000
0.500 0.500 0.500
0.000 0.000 0.000
0.000 0.500 0.000

---

4.
Sr2CaPtF | Alexandria | PBE-GGA | optimized geometry; mass density = 3.17 g/cm3; space-group type = P4/mmm, No. 123; formation energy without anion corrections = -0.72 eV/f.u.
1.0
6.742 0.000 0.000
0.000 4.949 0.000
0.000 0.000 6.742
F Ca Pt Sr
1 1 1 2
Direct
0.500 0.500 0.500
0.000 0.000 0.000
0.000 0.500 0.000
0.000 0.000 0.500
0.500 0.000 0.000

---

5.
CaPu2F11 | Alexandria | PBE-GGA | optimized geometry; mass density = 5.11 g/cm3; space-group type = Ibam, No. 72; formation energy without anion corrections = -47.95 eV/f.u.
1.0
7.582 0.000 3.952
3.496 7.469 2.542
0.326 -0.070 8.624
F Ca Pu
22 2 4
Direct
0.092 0.565 0.702
0.448 0.950 0.327
0.000 0.000 0.000
0.725 0.673 0.050
0.641 0.702 0.565
0.359 0.298 0.435
0.275 0.327 0.950
0.225 0.550 0.173
0.592 0.202 0.065
0.948 0.827 0.450
0.408 0.798 0.935
0.908 0.435 0.298
0.500 0.500 0.500
0.637 0.289 0.711
0.137 0.211 0.789
0.052 0.173 0.550
0.775 0.450 0.827
0.363 0.711 0.289
0.141 0.065 0.202
0.859 0.935 0.798
0.552 0.050 0.673
0.863 0.789 0.211
0.250 0.250 0.250
0.750 0.750 0.750
0.656 0.679 0.321
0.156 0.821 0.179
0.344 0.321 0.679
0.844 0.179 0.821

---

6.
CaPu2F7 | Alexandria | PBE-GGA | optimized geometry; mass density = 6.70 g/cm3; space-group type = R-3m, No. 166; formation energy without anion corrections = -35.86 eV/f.u.
1.0
-3.136 -1.798 1.970
-1.024 -3.890 -0.877
5.644 -5.523 8.246
F Ca Pu
7 1 2
Direct
0.000 0.000 0.000
0.569 0.569 0.293
0.723 0.723 0.832
0.277 0.277 0.168
0.855 0.855 0.434
0.145 0.145 0.566
0.431 0.431 0.707
0.500 0.500 0.500
0.931 0.931 0.206
0.069 0.069 0.794